P:
Density functional theory data (PBE) for a relaxed structure of LaPr2Ho9.

Properties
* density: 8146 kg/m³
* crystal system: tetragonal

The structure in CIF format:
```
data_LaPr2Ho9
_chemical_formula_sum 'La1 Pr2 Ho9'
_cell_length_a 5.058
_cell_length_b 5.058
_cell_length_c 15.177
_cell_angle_alpha 90.00
_cell_angle_beta 90.00
_cell_angle_gamma 90.00
_symmetry_space_group_name_H-M 'P 4/m m m'
_symmetry_Int_Tables_number 123
_symmetry_space_group_name_Hall '-P 4 2'
loop_
_atom_site_label
_atom_site_type_symbol
_atom_site_fract_x
_atom_site_fract_y
_atom_site_fract_z
_atom_site_occupancy
La1 La 0.000 0.000 0.000 1
Pr1 Pr 0.000 0.000 0.333 1
Ho1 Ho 0.000 0.500 0.168 1
Ho2 Ho 0.000 0.500 0.500 1
Ho3 Ho 0.500 0.500 0.000 1
Ho4 Ho 0.500 0.500 0.334 1
```

---

Q:
Density functional theory data (PBE) for a relaxed structure of LaPr2Ho9.

Properties
* density: 8055 kg/m³
* crystal system: hexagonal

The structure in CIF format:
```
data_LaPr2Ho9
_chemical_formula_sum 'La1 Pr2 Ho9'
_cell_length_a 11.3363
_cell_length_b 11.3363
_cell_length_c 3.5290
_cell_angle_alpha 90.00
_cell_angle_beta 90.00
_cell_angle_gamma 120.00
_symmetry_space_group_name_H-M 'P 6/m m m'
_symmetry_Int_Tables_number 191
_symmetry_space_group_name_Hall '-P 6 2'
loop_
_atom_site_label
_atom_site_type_symbol
_atom_site_fract_x
_atom_site_fract_y
_atom_site_fract_z
_atom_site_occupancy
La1 La 0.0000 0.0000 0.0000 1
Pr1 Pr 0.3333 0.6667 0.0000 1
Ho1 Ho 0.0000 0.5000 0.0000 1
Ho2 Ho 0.1763 0.3525 0.5000 1
```

---

Which structure is most stable? P, by 3.3 kJ/mol of atoms over the runner-up.

---

P:
Density functional theory data (PBE) for a relaxed structure of LaPrHo2.

Properties
* density: 6674 kg/m³
* crystal system: monoclinic

The structure in CIF format:
```
data_LaPrHo2
_chemical_formula_sum 'La2 Pr2 Ho4'
_cell_length_a 6.151
_cell_length_b 5.571
_cell_length_c 8.938
_cell_angle_alpha 90.00
_cell_angle_beta 97.96
_cell_angle_gamma 90.00
_symmetry_space_group_name_H-M 'P 1 2/m 1'
_symmetry_Int_Tables_number 10
loop_
_symmetry_equiv_pos_as_xyz
'x,y,z'
'-x,-y,-z'
'-x,y,-z'
'x,-y,z'
loop_
_atom_site_label
_atom_site_type_symbol
_atom_site_fract_x
_atom_site_fract_y
_atom_site_fract_z
_atom_site_occupancy
La1 La 0.000 0.000 0.000 1
La2 La 0.500 0.500 0.500 1
Pr1 Pr 0.103 0.500 0.711 1
Ho1 Ho 0.241 0.000 0.395 1
Ho2 Ho 0.340 0.500 0.128 1
```

---

Q:
Density functional theory data (PBE) for a relaxed structure of LaPrHo2.

Properties
* density: 7491 kg/m³
* crystal system: orthorhombic

The structure in CIF format:
```
data_LaPrHo2
_chemical_formula_sum 'La4 Pr4 Ho8'
_cell_length_a 10.260
_cell_length_b 5.123
_cell_length_c 10.284
_cell_angle_alpha 90.00
_cell_angle_beta 90.00
_cell_angle_gamma 90.00
_symmetry_space_group_name_H-M 'P n m a'
_symmetry_Int_Tables_number 62
loop_
_symmetry_equiv_pos_as_xyz
'x,y,z'
'-x,-y,-z'
'-x+1/2,-y,z+1/2'
'x+1/2,y,-z+1/2'
'x+1/2,-y+1/2,-z+1/2'
'-x+1/2,y+1/2,z+1/2'
'-x,y+1/2,-z'
'x,-y+1/2,z'
loop_
_atom_site_label
_atom_site_type_symbol
_atom_site_fract_x
_atom_site_fract_y
_atom_site_fract_z
_atom_site_occupancy
La1 La 0.125 0.250 0.245 1
Pr1 Pr 0.127 0.750 0.500 1
Ho1 Ho 0.123 0.750 0.999 1
Ho2 Ho 0.125 0.250 0.752 1
```

---

Which structure is most stable? Q, by 40.0 kJ/mol of atoms over the runner-up.

---

P:
Density functional theory data (PBE) for a relaxed structure of LaPrHo2.

Properties
* density: 7505 kg/m³
* crystal system: tetragonal

The structure in CIF format:
```
data_LaPrHo2
_chemical_formula_sum 'La1 Pr1 Ho2'
_cell_length_a 5.188
_cell_length_b 5.188
_cell_length_c 5.013
_cell_angle_alpha 90.00
_cell_angle_beta 90.00
_cell_angle_gamma 90.00
_symmetry_space_group_name_H-M 'P 4/m m m'
_symmetry_Int_Tables_number 123
_symmetry_space_group_name_Hall '-P 4 2'
loop_
_atom_site_label
_atom_site_type_symbol
_atom_site_fract_x
_atom_site_fract_y
_atom_site_fract_z
_atom_site_occupancy
La1 La 0.000 0.000 0.000 1
Pr1 Pr 0.500 0.500 0.000 1
Ho1 Ho 0.000 0.500 0.500 1
```

---

Q:
Density functional theory data (PBE) for a relaxed structure of LaPrHo2.

Properties
* density: 7424 kg/m³
* crystal system: cubic

The structure in CIF format:
```
data_LaPrHo2
_chemical_formula_sum 'La4 Pr4 Ho8'
_cell_length_a 8.170
_cell_length_b 8.170
_cell_length_c 8.170
_cell_angle_alpha 90.00
_cell_angle_beta 90.00
_cell_angle_gamma 90.00
_symmetry_space_group_name_H-M 'F m -3 m'
_symmetry_Int_Tables_number 225
_symmetry_space_group_name_Hall '-F 4 2 3'
loop_
_atom_site_label
_atom_site_type_symbol
_atom_site_fract_x
_atom_site_fract_y
_atom_site_fract_z
_atom_site_occupancy
La1 La 0.000 0.000 0.000 1
Pr1 Pr 0.000 0.000 0.500 1
Ho1 Ho 0.250 0.250 0.250 1
```

---

Which structure is most stable? P, by 6.8 kJ/mol of atoms over the runner-up.